# 1
# Nd8IrPt3I4 PBE relaxed
data_Nd8IrPt3I4
_symmetry_space_group_name_H-M 'C 1 2/m 1'
_symmetry_Int_Tables_number 12
_symmetry_space_group_name_Hall '-C 2y'
_cell_length_a 14.763
_cell_length_b 8.523
_cell_length_c 9.488
_cell_angle_alpha 90.00
_cell_angle_beta 121.29
_cell_angle_gamma 90.00
loop_
_atom_site_label
_atom_site_fract_x
_atom_site_fract_y
_atom_site_fract_z
_atom_site_occupancy
Nd1 0.020 0.245 0.314 1
Nd2 0.226 0.000 0.686 1
Nd3 0.229 0.500 0.686 1
Ir1 0.000 0.000 0.500 1
Pt1 0.000 0.500 0.500 1
Pt2 0.250 0.250 0.500 1
I1 0.000 0.000 0.000 1
I2 0.000 0.500 0.000 1
I3 0.250 0.250 0.000 1
# Fermi-level density of states = 10.39 states/eV/f.u.
# Formation energy from raw total energies = -1.088 eV per atom

# 2
# Nd8Ir3PtI3 PBE relaxed
data_Nd8Ir3PtI3
_symmetry_space_group_name_H-M 'C 1 2/m 1'
_symmetry_Int_Tables_number 12
_symmetry_space_group_name_Hall '-C 2y'
_cell_length_a 14.648
_cell_length_b 8.471
_cell_length_c 9.361
_cell_angle_alpha 90.00
_cell_angle_beta 121.39
_cell_angle_gamma 90.00
loop_
_atom_site_label
_atom_site_fract_x
_atom_site_fract_y
_atom_site_fract_z
_atom_site_occupancy
Nd1 0.023 0.245 0.313 1
Nd2 0.229 0.000 0.687 1
Nd3 0.232 0.500 0.686 1
Ir1 0.000 0.000 0.500 1
Ir2 0.250 0.250 0.500 1
Pt1 0.000 0.500 0.500 1
I1 0.000 0.500 0.000 1
I2 0.250 0.250 0.000 1
# Fermi-level density of states = 8.53 states/eV/f.u.
# Formation energy from raw total energies = -0.889 eV per atom

# 3
# Nd6Ir2PtI3 PBE relaxed
data_Nd6Ir2PtI3
_symmetry_space_group_name_H-M 'C 1 2/m 1'
_symmetry_Int_Tables_number 12
_symmetry_space_group_name_Hall '-C 2y'
_cell_length_a 7.341
_cell_length_b 12.711
_cell_length_c 8.475
_cell_angle_alpha 90.00
_cell_angle_beta 106.78
_cell_angle_gamma 90.00
loop_
_atom_site_label
_atom_site_fract_x
_atom_site_fract_y
_atom_site_fract_z
_atom_site_occupancy
Nd1 0.221 0.000 0.185 1
Nd2 0.232 0.330 0.185 1
Ir1 0.000 0.167 0.000 1
Pt1 0.000 0.500 0.000 1
I1 0.000 0.000 0.500 1
I2 0.000 0.333 0.500 1
# Fermi-level density of states = 5.79 states/eV/f.u.
# Formation energy from raw total energies = -1.026 eV per atom